Compound: Na4TmU3S8
Source: Alexandria via LeMat-Bulk
Functional: PBE-GGA
Structure: optimized geometry

The structure in extended XYZ format:
```
16
Lattice="7.895 0.000 0.000 0.000 8.151 0.172 -3.948 -3.942 5.587" Properties=species:S:1:pos:R:3 pbc="T T T"
Na 3.948 0.000 0.000
Na 1.974 -1.971 2.794
Na 0.000 0.000 0.000
Na -1.974 -1.971 2.794
Tm 0.000 4.075 0.086
U 3.948 4.075 0.086
U 1.974 2.104 2.879
U -1.974 2.104 2.879
S -2.000 2.047 5.647
S 0.000 4.044 2.817
S 0.000 0.166 2.906
S 2.000 2.047 5.647
S 1.948 2.161 0.112
S 3.948 4.043 2.852
S 3.948 0.164 2.942
S 5.948 2.161 0.112
```

Total magnetic moment: 0.5632 μB/atom
Energy: -6.248 eV/atom
Uncorrected formation energy: -1.459 eV per atom
Space-group type: R-3m, No. 166

***

Compound: SiAg2Sb
Source: Alexandria via LeMat-Bulk
Functional: PBE-GGA
Structure: optimized geometry

The structure in extended XYZ format:
```
4
Lattice="-0.459 -2.941 3.546 3.919 0.964 1.307 -1.307 3.202 2.487" Properties=species:S:1:pos:R:3 pbc="T T T"
Ag 2.547 4.063 3.700
Ag 1.372 2.186 1.991
Sb 0.424 -0.429 2.721
Si 1.730 1.654 4.618
```

Total magnetic moment: 0.0000 μB/atom
ΔE to the lowest computed polymorph: 27 meV/atom
Energy: -3.541 eV/atom
Uncorrected formation energy: 0.271 eV per atom
Space-group type: P2/m, No. 10

***

Compound: RbNbSn2
Source: Alexandria via LeMat-Bulk
Functional: PBE-GGA
Structure: optimized geometry

The structure in extended XYZ format:
```
4
Lattice="-1.528 2.068 2.134 -0.527 -0.951 3.160 9.611 4.825 4.820" Properties=species:S:1:pos:R:3 pbc="T T T"
Nb 3.778 2.971 5.057
Sn 6.511 3.485 3.900
Sn 1.045 2.458 6.214
Rb 0.000 0.000 0.000
```

Total magnetic moment: 0.0000 μB/atom
ΔE to the lowest computed polymorph: 0 meV/atom
Energy: -4.486 eV/atom
Formation energy from the elements: 275 meV per atom
Space-group type: R-3m, No. 166

***

Compound: HoEr3Cd
Source: Alexandria via LeMat-Bulk
Functional: PBE-GGA
Structure: optimized geometry

The structure in extended XYZ format:
```
10
Lattice="3.682 -0.332 0.000 -0.915 10.409 0.000 0.000 0.000 8.037" Properties=species:S:1:pos:R:3 pbc="T T T"
Ho 1.421 5.450 6.028
Ho 1.346 4.627 2.009
Er 3.044 2.877 7.722
Er -0.277 7.200 0.315
Er 3.044 2.877 4.334
Er -0.277 7.200 3.703
Er 1.730 8.890 6.028
Er 1.037 1.187 2.009
Cd 1.031 1.134 6.028
Cd 1.736 8.943 2.009
```

Total magnetic moment: 0.0002 μB/atom
ΔE to the lowest computed polymorph: 167 meV/atom
Energy: -3.777 eV/atom
Formation energy from the elements: 60 meV per atom
Space-group type: Cmcm, No. 63

***

Compound: Pm6Tl3P
Source: Alexandria via LeMat-Bulk
Functional: PBE-GGA
Structure: optimized geometry

The structure in extended XYZ format:
```
20
Lattice="5.481 0.000 0.000 0.000 8.980 -1.713 0.000 -1.370 11.968" Properties=species:S:1:pos:R:3 pbc="T T T"
Pm 1.370 4.360 0.282
Pm 4.111 3.250 9.972
Pm 1.370 1.066 1.617
Pm 4.111 6.545 8.638
Pm 1.370 5.359 6.688
Pm 4.111 2.251 3.567
Pm 1.370 1.506 5.725
Pm 4.111 6.104 4.529
Pm 1.370 7.432 2.716
Pm 4.111 0.178 7.539
Pm 1.370 -0.209 10.162
Pm 4.111 7.819 0.092
Tl 1.370 4.113 3.641
Tl 4.111 3.498 6.614
Tl 1.370 2.614 8.646
Tl 4.111 4.996 1.609
Tl 1.370 5.654 10.245
Tl 4.111 1.956 0.010
P 1.370 7.986 5.579
P 4.111 -0.375 4.676
```

Total magnetic moment: 0.0000 μB/atom
Energy: -4.533 eV/atom
Formation energy from the elements: -432 meV per atom
Space-group type: P2_1/m, No. 11

***

Compound: SrCuNiSb2
Source: Alexandria via LeMat-Bulk
Functional: PBE-GGA
Structure: optimized geometry

The structure in extended XYZ format:
```
5
Lattice="4.491 0.000 0.000 0.000 4.491 0.000 -2.246 -2.246 5.554" Properties=species:S:1:pos:R:3 pbc="T T T"
Sr 0.000 0.000 0.000
Cu 0.000 2.246 2.777
Ni 2.246 0.000 2.777
Sb 2.246 2.246 1.501
Sb 0.000 0.000 4.053
```

Total magnetic moment: 0.0000 μB/atom
Energy: -4.412 eV/atom
Uncorrected formation energy: -0.451 eV per atom
Space-group type: I-4m2, No. 119

***

Compound: SrPm3Rh8
Source: Alexandria via LeMat-Bulk
Functional: PBE-GGA
Structure: optimized geometry

The structure in extended XYZ format:
```
12
Lattice="5.180 0.000 1.564 2.354 4.614 1.564 -0.014 -0.009 9.408" Properties=species:S:1:pos:R:3 pbc="T T T"
Sr 6.583 4.032 6.278
Pm 2.815 1.724 9.397
Pm 7.525 4.609 3.156
Pm 3.769 2.309 6.236
Rh 5.898 2.020 3.883
Rh 4.447 4.319 8.646
Rh 3.299 2.020 3.099
Rh 7.051 4.319 9.433
Rh 1.405 0.861 4.707
Rh 5.167 3.164 10.970
Rh 4.480 4.336 3.883
Rh 5.868 1.999 8.646
```

Total magnetic moment: 0.0000 μB/atom
Energy: -6.810 eV/atom
Formation energy from the elements: -581 meV per atom
Space-group type: R3m, No. 160

***

Compound: CaEuErTm
Source: Alexandria via LeMat-Bulk
Functional: PBE-GGA
Structure: optimized geometry

The structure in extended XYZ format:
```
4
Lattice="5.803 0.000 0.000 2.901 5.025 0.000 2.901 1.675 4.738" Properties=species:S:1:pos:R:3 pbc="T T T"
Eu 5.803 3.350 2.369
Ca 2.901 1.675 1.184
Tm 0.000 0.000 0.000
Er 8.704 5.025 3.553
```

Total magnetic moment: 1.8668 μB/atom
Energy: -5.162 eV/atom
Formation energy from the elements: 166 meV per atom
Space-group type: F-43m, No. 216

***

Compound: YSc2Zn2
Source: Alexandria via LeMat-Bulk
Functional: PBE-GGA
Structure: optimized geometry

The structure in extended XYZ format:
```
5
Lattice="-0.649 -1.606 -4.058 4.199 0.887 -1.023 3.355 -5.696 -0.681" Properties=species:S:1:pos:R:3 pbc="T T T"
Y 0.000 0.000 0.000
Sc 2.240 -3.831 -3.639
Sc 4.664 -2.585 -2.122
Zn 2.096 -1.446 -2.162
Zn 4.808 -4.970 -3.599
```

Total magnetic moment: 0.0000 μB/atom
ΔE to the lowest computed polymorph: 112 meV/atom
Energy: -4.502 eV/atom
Formation energy from the elements: -167 meV per atom
Space-group type: I4/mmm, No. 139

***

Compound: Ba2LaFe
Source: Alexandria via LeMat-Bulk
Functional: PBE-GGA
Structure: optimized geometry

The structure in extended XYZ format:
```
4
Lattice="4.524 -0.338 0.130 2.708 3.640 0.130 1.958 0.894 9.481" Properties=species:S:1:pos:R:3 pbc="T T T"
Ba 2.040 0.931 8.659
Ba 2.201 1.005 3.241
Fe 4.470 2.040 6.067
La 7.032 3.210 6.124
```

Total magnetic moment: 0.1631 μB/atom
ΔE to the lowest computed polymorph: 0 meV/atom
Energy: -4.000 eV/atom
Formation energy from the elements: 309 meV per atom
Space-group type: Cm, No. 8

***

Compound: ErPd7Au12
Source: Alexandria via LeMat-Bulk
Functional: PBE-GGA
Structure: optimized geometry

The structure in extended XYZ format:
```
20
Lattice="7.996 -0.362 -0.544 -2.572 7.580 -0.544 -2.572 -3.422 6.786" Properties=species:S:1:pos:R:3 pbc="T T T"
Er 0.000 0.000 0.000
Pd 3.058 0.925 5.278
Pd 2.815 0.156 0.718
Pd -0.633 -0.396 2.812
Pd 1.427 1.898 2.849
Pd 3.486 4.192 2.887
Pd 0.038 3.641 4.981
Pd -0.204 2.871 0.420
Au 4.991 -0.941 3.969
Au 5.145 1.879 -0.013
Au 2.094 -0.702 3.242
Au 4.110 1.505 2.774
Au 0.375 -2.117 5.038
Au 0.302 0.878 5.098
Au 2.551 2.919 0.600
Au 2.479 5.913 0.661
Au -1.257 2.292 2.925
Au 0.759 4.499 2.457
Au -2.291 1.917 5.712
Au -2.138 4.737 1.729
```

Total magnetic moment: 0.0000 μB/atom
Energy: -4.084 eV/atom
Formation energy from the elements: -72 meV per atom
Space-group type: R-3, No. 148

***

Compound: Zr2In2Pd5
Source: Alexandria via LeMat-Bulk
Functional: PBE-GGA
Structure: optimized geometry

The structure in extended XYZ format:
```
18
Lattice="7.458 0.000 0.000 0.000 7.005 0.000 -3.729 -3.502 6.671" Properties=species:S:1:pos:R:3 pbc="T T T"
Zr -0.123 3.902 1.638
Zr 3.852 0.400 5.033
Zr 3.852 0.400 1.638
Zr -0.123 3.902 5.033
In 0.000 6.721 0.000
In 3.729 3.219 0.000
In 0.065 1.134 3.335
In 3.664 4.636 3.335
Pd -1.423 1.899 6.134
Pd 5.152 5.402 0.537
Pd -2.306 -1.603 6.134
Pd 6.035 1.899 0.537
Pd 1.541 -0.937 2.051
Pd 2.188 2.566 4.619
Pd 2.188 2.566 2.051
Pd 1.541 -0.937 4.619
Pd 5.046 2.281 3.335
Pd -1.317 -1.222 3.335
```

Total magnetic moment: 0.0000 μB/atom
Energy: -5.778 eV/atom
Formation energy from the elements: -385 meV per atom
Space-group type: Ima2, No. 46